No. 1
Computed, not measured: an optimized crystal structure of Sn3Pd5Au3 at the GGA-PBE level of DFT.

```
11
Lattice="3.019 0.000 0.000 0.000 7.924 -4.575 0.000 0.000 9.150" Properties=species:S:1:pos:R:3 pbc="T T T"
Pd 1.509 2.713 -1.566
Au 1.509 0.000 7.547
Au 1.509 1.388 0.801
Au 1.509 6.536 -3.774
Sn 0.000 4.550 -2.627
Pd 1.509 5.211 3.009
Pd 1.509 2.641 4.575
Pd 1.509 5.283 0.000
Sn 0.000 3.374 1.948
Sn 0.000 0.000 5.254
Pd 1.509 0.000 3.133
```

symmetry	No. 189
energy of formation	-0.03	eV/atom
total energy	-4.378	eV/atom
N(E_F)	0.472	states/eV/atom

=====

No. 2
Computed, not measured: an optimized crystal structure of GeRu3Pb at the GGA-PBE level of DFT.

```
5
Lattice="4.563 0.000 0.000 0.000 4.563 0.000 0.000 0.000 4.563" Properties=species:S:1:pos:R:3 pbc="T T T"
Ru 2.282 0.000 0.000
Ge 0.000 0.000 0.000
Ru 0.000 0.000 2.282
Ru 0.000 2.282 0.000
Pb 2.282 2.282 2.282
```

symmetry	No. 221
energy of formation	0.86	eV/atom
total energy	-6.367	eV/atom
N(E_F)	0.732	states/eV/atom

=====

No. 3
Computed, not measured: an optimized crystal structure of Fe3C at the GGA-PBE level of DFT.

```
8
Lattice="0.471 2.721 6.117 -2.340 -5.662 -2.740 2.306 -1.105 0.314" Properties=species:S:1:pos:R:3 pbc="T T T"
Fe 1.521 -0.823 1.788
Fe 0.543 -2.361 3.554
C 0.041 -0.556 3.025
C 0.396 -3.490 0.666
Fe -1.084 -3.223 1.903
Fe 1.532 -0.103 4.245
Fe -0.106 -1.685 0.137
Fe -1.095 -3.943 -0.554
```

symmetry	No. 63
energy of formation	0.26	eV/atom
total energy	-8.389	eV/atom
N(E_F)	1.037	states/eV/atom

=====

No. 4
Computed, not measured: an optimized crystal structure of Dy6Ho3TmSc2 at the GGA-PBE level of DFT.

```
12
Lattice="-1.038 -5.181 -2.943 5.534 2.440 -0.044 1.156 -4.932 10.342" Properties=species:S:1:pos:R:3 pbc="T T T"
Dy 2.013 -4.421 7.056
Ho 5.015 -1.297 4.644
Dy 0.303 -3.168 1.295
Sc 3.342 -0.101 -1.011
Dy 2.508 -0.612 2.268
Sc 1.153 -2.639 -1.976
Dy 3.143 -7.061 5.087
Ho 2.826 -3.836 3.678
Tm 0.000 0.000 0.000
Ho 0.636 -6.375 2.711
Dy 5.348 -4.504 6.060
Dy 3.639 -3.252 0.299
```

symmetry	No. 12
energy of formation	0.04	eV/atom
total energy	-4.837	eV/atom
N(E_F)	1.436	states/eV/atom

=====

No. 5
Computed, not measured: an optimized crystal structure of Ce2Si7Ir12 at the GGA-PBE level of DFT.

```
21
Lattice="-2.443 3.034 -0.230 -2.203 -2.472 -9.223 -5.235 -3.652 7.436" Properties=species:S:1:pos:R:3 pbc="T T T"
Ir -3.573 -1.732 -1.330
Ce -4.844 -2.489 1.824
Ir -6.308 -1.359 -0.687
Si -5.295 -3.185 -2.154
Ir -6.723 -4.172 -0.490
Ir -7.617 -2.606 -2.821
Si -4.586 0.094 0.136
Si -7.806 -2.439 0.922
Ir -3.158 1.082 -1.528
Ir -4.303 0.499 2.536
Si -5.796 -0.582 4.071
Si -1.221 1.517 -0.115
Ir -2.264 -0.484 0.803
Ce -5.037 -0.601 -3.842
Ir -5.552 -2.802 5.159
Ir -4.329 -0.289 -7.176
Ir -2.310 -1.015 -5.298
Si -4.085 -2.508 -6.088
Ir -5.578 -3.589 -4.553
Ir -7.571 -2.075 3.281
Si -2.075 -0.652 -2.940
```

symmetry	No. 147
ΔE_f (raw)	-0.834	eV/atom
total energy	-8.270	eV/atom
N(E_F)	0.348	states/eV/atom

=====

No. 6
Computed, not measured: an optimized crystal structure of CsIn2GaHg at the GGA-PBE level of DFT.

```
5
Lattice="-5.661 -1.144 0.151 1.084 -5.233 0.967 -0.059 1.038 5.683" Properties=species:S:1:pos:R:3 pbc="T T T"
In -2.830 -0.572 0.075
Cs -2.318 -2.670 3.400
In -0.029 0.519 2.841
Ga 0.000 0.000 0.000
Hg 0.542 -2.617 0.483
```

symmetry	No. 123
energy of formation	0.07	eV/atom
total energy	-1.865	eV/atom
N(E_F)	0.532	states/eV/atom